Record 1
Zr2PbC | GGA-PBE | relaxed

Unit cell a=5.917 b=5.917 c=15.331 alpha=101.11 beta=101.11 gamma=59.98
Positions (direct):
1 Zr 0.194 0.027 0.082
2 Zr 0.639 0.473 0.418
3 Zr 0.027 0.194 0.582
4 Zr 0.806 0.973 0.918
5 Zr 0.527 0.361 0.082
6 Zr 0.473 0.639 0.918
7 Zr 0.361 0.527 0.582
8 Zr 0.139 0.306 0.918
9 Zr 0.973 0.806 0.418
10 Zr 0.694 0.861 0.582
11 Zr 0.306 0.139 0.418
12 Zr 0.861 0.694 0.082
13 C 0.333 0.834 0.500
14 C 0.667 0.166 0.500
15 C 0.000 0.500 0.500
16 C 0.500 0.000 0.000
17 C 0.166 0.667 0.000
18 C 0.834 0.333 0.000
19 Pb 0.416 0.251 0.750
20 Pb 0.584 0.749 0.250
21 Pb 0.749 0.584 0.750
22 Pb 0.251 0.416 0.250
23 Pb 0.917 0.083 0.250
24 Pb 0.083 0.917 0.750

Output
- Space-group type: P6_3/mmc, No. 194
- Calculated density: 8.8 Mg/m³


Record 2
AlCoMo4N2 | GGA-PBE | relaxed

Unit cell a=2.824 b=2.824 c=14.424 alpha=90.00 beta=90.00 gamma=120.00
Site moments in Bohr magnetons follow the coordinates.
Positions (direct):
1 N 0.333 0.667 0.746  0.01
2 N 0.333 0.667 0.254  0.01
3 Mo 0.667 0.333 0.646  0.00
4 Mo 0.000 0.000 0.157  -0.01
5 Mo 0.000 0.000 0.843  -0.01
6 Mo 0.667 0.333 0.354  0.00
7 Al 0.667 0.333 0.000  0.00
8 Co 0.000 0.000 0.500  1.07

Output
- Space-group type: P-6m2, No. 187
- Calculated density: 8.3 Mg/m³


Record 3
NbCoSbIr | GGA-PBE | relaxed

Unit cell a=4.486 b=4.486 c=4.486 alpha=60.00 beta=60.00 gamma=60.00
Positions (direct):
1 Ir 0.500 0.500 0.500
2 Nb 0.250 0.250 0.250
3 Sb 0.000 0.000 0.000
4 Co 0.750 0.750 0.750

Output
- Space-group type: F-43m, No. 216
- Relative energy among the computed polymorphs: 0.119 eV per formula unit
- Calculated density: 12.1 Mg/m³


Record 4
TbSmZr | GGA-PBE | relaxed

Unit cell a=5.246 b=5.246 c=5.246 alpha=60.00 beta=60.00 gamma=60.00
Site moments in Bohr magnetons follow the coordinates.
Positions (direct):
1 Tb 0.750 0.750 0.750  0.23
2 Zr 0.000 0.000 0.000  0.76
3 Sm 0.250 0.250 0.250  0.17

Output
- Space-group type: F-43m, No. 216
- Calculated formation energy: 18.015 kcal/mol of atoms
- Relative energy among the computed polymorphs: 0.000 eV per formula unit
- Calculated density: 6.5 Mg/m³


Record 5
Pr2Dy2CI3Br2 | GGA-PBE | relaxed

Unit cell a=9.513 b=9.513 c=8.964 alpha=102.45 beta=102.45 gamma=24.40
Positions (direct):
1 Pr 0.998 0.998 0.195
2 Pr 0.002 0.002 0.805
3 Dy 0.367 0.367 0.937
4 Dy 0.633 0.633 0.063
5 Br 0.829 0.829 0.141
6 Br 0.171 0.171 0.859
7 I 0.174 0.174 0.325
8 I 0.500 0.500 0.500
9 I 0.826 0.826 0.675
10 C 0.500 0.500 0.000

Output
- Space-group type: C2/m, No. 12
- Relative energy among the computed polymorphs: 0.029 eV per formula unit
- Calculated density: 5.9 Mg/m³


Record 6
Ga2FeBi | GGA-PBE | relaxed

Unit cell a=4.863 b=4.863 c=4.863 alpha=60.00 beta=60.00 gamma=60.00
Site moments in Bohr magnetons follow the coordinates.
Positions (direct):
1 Ga 0.750 0.750 0.750  -0.04
2 Ga 0.500 0.500 0.500  0.00
3 Bi 0.250 0.250 0.250  -0.01
4 Fe 0.000 0.000 0.000  2.77

Output
- Space-group type: F-43m, No. 216
- Calculated density: 8.3 Mg/m³


Record 7
CsHfSb | GGA-PBE | relaxed

Unit cell a=5.423 b=5.423 c=5.423 alpha=60.00 beta=60.00 gamma=60.00
Positions (direct):
1 Hf 0.250 0.250 0.250
2 Cs 0.000 0.000 0.000
3 Sb 0.750 0.750 0.750

Output
- Space-group type: F-43m, No. 216
- Relative energy among the computed polymorphs: 2.525 eV per formula unit
- Calculated density: 6.4 Mg/m³


Record 8
NpCoCu | GGA-PBE | relaxed

Unit cell a=4.180 b=4.180 c=4.180 alpha=60.00 beta=60.00 gamma=60.00
Positions (direct):
1 Cu 0.250 0.250 0.250
2 Co 0.000 0.000 0.000
3 Np 0.750 0.750 0.750

Output
- Space-group type: F-43m, No. 216
- Calculated formation energy: 8.800 kcal/mol of atoms
- Relative energy among the computed polymorphs: 0.000 eV per formula unit
- Calculated density: 11.6 Mg/m³


Record 9
DyErI6 | GGA-PBE | relaxed

Unit cell a=7.602 b=7.602 c=7.631 alpha=99.32 beta=99.32 gamma=120.06
Positions (direct):
1 Dy 0.834 0.166 0.000
2 I 0.575 0.928 0.242
3 I 0.776 0.773 0.753
4 I 0.072 0.425 0.758
5 I 0.930 0.580 0.242
6 I 0.227 0.224 0.247
7 I 0.420 0.070 0.758
8 Er 0.166 0.834 0.000

Output
- Space-group type: C2, No. 5
- Calculated density: 5.0 Mg/m³


Record 10
ZrGeOs | GGA-PBE | relaxed

Unit cell a=7.336 b=7.336 c=3.329 alpha=90.00 beta=90.00 gamma=120.00
Site moments in Bohr magnetons follow the coordinates.
Positions (direct):
1 Ge 0.725 0.725 0.000  0.01
2 Ge 0.275 0.000 0.000  0.01
3 Ge 0.000 0.275 0.000  0.01
4 Zr 0.609 0.000 0.500  0.01
5 Zr 0.000 0.609 0.500  0.01
6 Zr 0.391 0.391 0.500  0.01
7 Os 0.667 0.333 0.000  0.02
8 Os 0.333 0.667 0.000  0.02
9 Os 0.000 0.000 0.500  0.15

Output
- Space-group type: P-62m, No. 189
- Calculated density: 11.4 Mg/m³


These records have E values of -8.17, -8.92, -7.45, -5.18, -4.83, -4.19, -3.42, -7.48, -3.70, -8.63 eV/atom, in the order they appear.